[1]
## GdGaCuAg (GGA-PBE)

Data for a relaxed structure of GdGaCuAg.

Unit cell a=4.754 b=4.754 c=4.754 alpha=60.00 beta=60.00 gamma=60.00
Sites, in units of the cell vectors:
Gd 0.000 0.000 0.000
Ga 0.500 0.500 0.500
Cu 0.250 0.250 0.250
Ag 0.750 0.750 0.750

Calculated values
- DFT total energy (eV for the cell shown) = -25.124
- M_tot (μB/cell) = 7.2


[2]
## Ho4GaCuAg2 (GGA-PBE)

Data for a relaxed structure of Ho4GaCuAg2.

Unit cell a=8.757 b=8.757 c=8.757 alpha=33.50 beta=33.50 gamma=33.50
Sites, in units of the cell vectors:
Ho 0.122 0.122 0.122
Ho 0.373 0.373 0.373
Ho 0.627 0.627 0.627
Ho 0.878 0.878 0.878
Ga 0.500 0.500 0.500
Cu 0.000 0.000 0.000
Ag 0.248 0.248 0.248
Ag 0.752 0.752 0.752

Calculated values
- DFT total energy (eV for the cell shown) = -34.073
- M_tot (μB/cell) = 0.0


[3]
## Ho2Ga3Cu12Ag (GGA-PBE)

Data for a relaxed structure of Ho2Ga3Cu12Ag.

Unit cell a=6.551 b=6.551 c=6.551 alpha=85.62 beta=85.62 gamma=85.62
Sites, in units of the cell vectors:
Ho 0.206 0.206 0.206
Ho 0.794 0.794 0.794
Ga 0.000 0.500 0.500
Ga 0.500 0.000 0.500
Ga 0.500 0.500 0.000
Cu 0.085 0.085 0.634
Cu 0.085 0.634 0.085
Cu 0.209 0.701 0.701
Cu 0.299 0.299 0.791
Cu 0.299 0.791 0.299
Cu 0.366 0.915 0.915
Cu 0.634 0.085 0.085
Cu 0.701 0.209 0.701
Cu 0.701 0.701 0.209
Cu 0.791 0.299 0.299
Cu 0.915 0.366 0.915
Cu 0.915 0.915 0.366
Ag 0.500 0.500 0.500

Calculated values
- DFT total energy (eV for the cell shown) = -70.031
- M_tot (μB/cell) = 0.0


[4]
## InGaCuAgSe4 (GGA-PBE)

Data for a relaxed structure of InGaCuAgSe4.

Unit cell a=7.150 b=7.150 c=7.150 alpha=130.75 beta=130.75 gamma=72.21
Sites, in units of the cell vectors:
In 0.000 0.000 0.000
Ga 0.250 0.750 0.500
Cu 0.500 0.500 0.000
Ag 0.750 0.250 0.500
Se 0.155 0.127 0.531
Se 0.375 0.845 0.972
Se 0.597 0.625 0.469
Se 0.873 0.403 0.028

Calculated values
- DFT total energy (eV for the cell shown) = -30.230
- M_tot (μB/cell) = 0.0
- formation energy without anion corrections (eV/atom) = -0.447


[5]
## GaCuAg2Ir (GGA-PBE)

Data for a relaxed structure of GaCuAg2Ir.

Unit cell a=4.689 b=4.689 c=4.667 alpha=90.00 beta=90.00 gamma=90.00
Sites, in units of the cell vectors:
Ga 0.000 0.000 0.000
Cu 0.500 0.500 0.500
Ag 0.000 0.500 0.500
Ag 0.500 0.000 0.500
Ir 0.500 0.500 0.000

Calculated values
- DFT total energy (eV for the cell shown) = -17.169
- M_tot (μB/cell) = 0.0


[6]
## LaGa3CuAg (GGA-PBE)

Data for a relaxed structure of LaGa3CuAg.

Unit cell a=6.926 b=6.926 c=6.570 alpha=90.00 beta=90.00 gamma=128.36
Sites, in units of the cell vectors:
La 0.206 0.794 0.750
La 0.794 0.206 0.250
Ga 0.222 0.222 0.000
Ga 0.222 0.222 0.500
Ga 0.366 0.634 0.250
Ga 0.634 0.366 0.750
Ga 0.778 0.778 0.000
Ga 0.778 0.778 0.500
Cu 0.431 0.569 0.750
Cu 0.569 0.431 0.250
Ag 0.150 0.850 0.250
Ag 0.850 0.150 0.750

Calculated values
- DFT total energy (eV for the cell shown) = -44.134
- M_tot (μB/cell) = 0.0


[7]
## La2Ga4Cu3Ag (GGA-PBE)

Data for a relaxed structure of La2Ga4Cu3Ag.

Unit cell a=4.352 b=4.352 c=10.243 alpha=90.00 beta=90.00 gamma=90.00
Sites, in units of the cell vectors:
La 0.000 0.500 0.246
La 0.500 0.000 0.754
Ga 0.000 0.000 0.000
Ga 0.000 0.500 0.639
Ga 0.500 0.000 0.361
Ga 0.500 0.500 0.000
Cu 0.000 0.500 0.876
Cu 0.500 0.000 0.124
Cu 0.500 0.500 0.500
Ag 0.000 0.000 0.500

Calculated values
- DFT total energy (eV for the cell shown) = -41.409
- M_tot (μB/cell) = 0.0


[8]
## LaGa4Cu2Ag (GGA-PBE)

Data for a relaxed structure of LaGa4Cu2Ag.

Unit cell a=9.704 b=9.704 c=9.704 alpha=25.39 beta=25.39 gamma=25.39
Sites, in units of the cell vectors:
La 0.000 0.000 0.000
Ga 0.120 0.120 0.120
Ga 0.402 0.402 0.402
Ga 0.598 0.598 0.598
Ga 0.880 0.880 0.880
Cu 0.239 0.239 0.239
Cu 0.761 0.761 0.761
Ag 0.500 0.500 0.500

Calculated values
- DFT total energy (eV for the cell shown) = -30.078
- M_tot (μB/cell) = 0.0


[9]
## Mg2Ga2Cu5Ag (GGA-PBE)

Data for a relaxed structure of Mg2Ga2Cu5Ag.

Unit cell a=8.986 b=8.986 c=3.800 alpha=90.00 beta=90.00 gamma=90.00
Sites, in units of the cell vectors:
Mg 0.177 0.323 0.000
Mg 0.323 0.823 0.000
Mg 0.677 0.177 0.000
Mg 0.823 0.677 0.000
Ga 0.121 0.621 0.000
Ga 0.379 0.121 0.000
Ga 0.621 0.879 0.000
Ga 0.879 0.379 0.000
Cu 0.000 0.500 0.500
Cu 0.059 0.794 0.500
Cu 0.206 0.059 0.500
Cu 0.294 0.559 0.500
Cu 0.441 0.294 0.500
Cu 0.500 0.000 0.500
Cu 0.559 0.706 0.500
Cu 0.706 0.441 0.500
Cu 0.794 0.941 0.500
Cu 0.941 0.206 0.500
Ag 0.000 0.000 0.000
Ag 0.500 0.500 0.000

Calculated values
- DFT total energy (eV for the cell shown) = -66.016
- M_tot (μB/cell) = 0.0


[10]
## NdGa3CuAg (GGA-PBE)

Data for a relaxed structure of NdGa3CuAg.

Unit cell a=6.911 b=6.911 c=6.492 alpha=90.00 beta=90.00 gamma=129.27
Sites, in units of the cell vectors:
Nd 0.202 0.798 0.750
Nd 0.798 0.202 0.250
Ga 0.221 0.221 0.000
Ga 0.221 0.221 0.500
Ga 0.368 0.632 0.250
Ga 0.632 0.368 0.750
Ga 0.779 0.779 0.000
Ga 0.779 0.779 0.500
Cu 0.426 0.574 0.750
Cu 0.574 0.426 0.250
Ag 0.154 0.846 0.250
Ag 0.846 0.154 0.750

Calculated values
- DFT total energy (eV for the cell shown) = -43.585
- M_tot (μB/cell) = 0.0


[11]
## NdGa4Cu2Ag (GGA-PBE)

Data for a relaxed structure of NdGa4Cu2Ag.

Unit cell a=9.551 b=9.551 c=9.551 alpha=25.70 beta=25.70 gamma=25.70
Sites, in units of the cell vectors:
Nd 0.000 0.000 0.000
Ga 0.119 0.119 0.119
Ga 0.399 0.399 0.399
Ga 0.601 0.601 0.601
Ga 0.881 0.881 0.881
Cu 0.241 0.241 0.241
Cu 0.759 0.759 0.759
Ag 0.500 0.500 0.500

Calculated values
- DFT total energy (eV for the cell shown) = -29.817
- M_tot (μB/cell) = 0.0


[12]
## Nd2Ga4Cu3Ag (GGA-PBE)

Data for a relaxed structure of Nd2Ga4Cu3Ag.

Unit cell a=4.267 b=4.267 c=10.299 alpha=90.00 beta=90.00 gamma=90.00
Sites, in units of the cell vectors:
Nd 0.000 0.500 0.245
Nd 0.500 0.000 0.755
Ga 0.000 0.000 0.000
Ga 0.000 0.500 0.641
Ga 0.500 0.000 0.359
Ga 0.500 0.500 0.000
Cu 0.000 0.500 0.874
Cu 0.500 0.000 0.126
Cu 0.500 0.500 0.500
Ag 0.000 0.000 0.500

Calculated values
- DFT total energy (eV for the cell shown) = -40.997
- M_tot (μB/cell) = 0.0